# TmHfCr2O6

A relaxed structure of TmHfCr2O6 (PBE with a Hubbard U, the Alexandria database).

Properties
The value obtained for the size of the total moment is 7.000 Bohr magnetons per cell. The energy is -86.7 eV per cell. The calculated density is 7.46 g cm⁻³.

abc: 5.306 5.391 5.684
angles: 63.22 89.88 60.92
Fractional positions:
Tm 0.000 0.000 0.000
Hf 0.515 0.975 0.531
Cr 0.213 0.577 0.619
Cr 0.721 0.557 0.147
O 0.145 0.031 0.355
O 0.312 0.113 0.808
O 0.426 0.450 0.348
O 0.585 0.493 0.831
O 0.820 0.762 0.346
O 0.924 0.742 0.831